ReHgN3 | GGA-PBE | relaxed

Cell: 3.9512 3.9512 3.9512 Å, 90.00 90.00 90.00°
Last column: nearest neighbours and their distance in Å.
Element x y z (fractional)
N 0.0000 0.5000 0.0000  2 Re 1.98
N 0.0000 0.0000 0.5000  2 Re 1.98
N 0.5000 0.0000 0.0000  2 Re 1.98
Re 0.0000 0.0000 0.0000  6 N 1.98
Hg 0.5000 0.5000 0.5000  12 N 2.79

Results
- Energy relative to the elements, uncorrected: 0.924 eV per atom
- Space group: Pm-3m, No. 221


BeTlO2F | GGA-PBE | relaxed

Cell: 3.8045 3.8045 3.3807 Å, 90.00 90.00 90.00°
Last column: nearest neighbours and their distance in Å.
Element x y z (fractional)
O 0.5000 0.0000 0.0000  2 Be 1.90
O 0.0000 0.5000 0.0000  2 Be 1.90
Tl 0.5000 0.5000 0.5000  8 O 2.54, 4 F 2.69
Be 0.0000 0.0000 0.0000  2 F 1.69
F 0.0000 0.0000 0.5000  2 Be 1.69

Results
- Energy relative to the elements, uncorrected: -1.359 eV per atom
- Space group: P4/mmm, No. 123


RbAs2PdBr | GGA-PBE | relaxed

Cell: 6.9689 6.9689 6.2636 Å, 90.00 90.00 90.00°
Last column: nearest neighbours and their distance in Å.
Element x y z (fractional)
Rb 0.0000 0.0000 0.0000  2 Br 3.13, 4 As 3.48
As 0.0000 0.5000 0.0000  2 Rb 3.48
As 0.5000 0.0000 0.0000  2 Rb 3.48
Pd 0.5000 0.5000 0.5000  8 As 4.69, 4 Br 4.93
Br 0.0000 0.0000 0.5000  2 Rb 3.13

Results
- Energy relative to the elements, uncorrected: 1.327 eV per atom
- Excess energy over the best structure of this formula in the dataset: 1538 meV/atom
- Space group: P4/mmm, No. 123


LiCuW2 | GGA-PBE | relaxed

Cell: 3.1367 4.1443 4.4691 Å, 90.00 90.00 90.00°
Last column: nearest neighbours and their distance in Å.
Element x y z (fractional)
Li 0.0000 0.5000 0.5000  4 Cu 2.60, 4 W 2.73
Cu 0.5000 0.0000 0.5000  4 Li 2.60, 4 W 2.73
W 0.5000 0.5000 0.0000  4 W 2.60, 4 Li 2.73
W 0.0000 0.0000 0.0000  4 W 2.60, 4 Cu 2.73

Results
- Energy of formation from the pure elements: 1.8 eV per formula unit
- Excess energy over the best structure of this formula in the dataset: 203 meV/atom
- Space group: Pmmm, No. 47


Pr11Hg9Rh4 | GGA-PBE | relaxed

Cell: 3.8290 13.3947 13.3947 Å, 112.72 90.00 90.00°
Last column: nearest neighbours and their distance in Å.
Element x y z (fractional)
Hg 0.5000 0.1567 0.6315  1 Rh 3.13, 1 Hg 3.14, 6 Pr 3.29-3.49
Hg 0.5000 0.5000 0.5000  4 Rh 3.15, 8 Pr 3.42-3.47
Hg 0.5000 0.7855 0.9314  1 Rh 3.15, 1 Hg 3.26, 8 Pr 3.26-3.51
Hg 0.5000 0.6315 0.1567  1 Rh 3.13, 1 Hg 3.14, 6 Pr 3.29-3.49
Hg 0.5000 0.2145 0.0686  1 Rh 3.15, 1 Hg 3.26, 8 Pr 3.26-3.51
Hg 0.5000 0.0686 0.2145  1 Rh 3.15, 1 Hg 3.26, 8 Pr 3.26-3.51
Hg 0.5000 0.3685 0.8433  1 Rh 3.13, 1 Hg 3.14, 6 Pr 3.29-3.49
Hg 0.5000 0.9314 0.7855  1 Rh 3.15, 1 Hg 3.26, 8 Pr 3.26-3.51
Hg 0.5000 0.8433 0.3685  1 Rh 3.13, 1 Hg 3.14, 6 Pr 3.29-3.49
Pr 0.0000 0.0000 0.0000  8 Hg 3.28
Pr 0.0000 0.3053 0.3053  4 Rh 3.01
Pr 0.0000 0.5845 0.9211  2 Rh 2.88
Pr 0.0000 0.3730 0.6270  4 Rh 3.00
Pr 0.0000 0.0789 0.4155  2 Rh 2.88
Pr 0.0000 0.4155 0.0789  2 Rh 2.88
Pr 0.0000 0.8349 0.1651  8 Hg 3.29-3.51, 3 Pr 3.67-3.68
Pr 0.0000 0.9211 0.5845  2 Rh 2.88
Pr 0.0000 0.6947 0.6947  4 Rh 3.01
Pr 0.0000 0.6270 0.3730  4 Rh 3.00
Pr 0.0000 0.1651 0.8349  8 Hg 3.29-3.51, 3 Pr 3.67-3.68
Rh 0.5000 0.5502 0.7502  6 Pr 2.88-3.01, 3 Hg 3.13-3.15
Rh 0.5000 0.7502 0.5502  6 Pr 2.88-3.01, 3 Hg 3.13-3.15
Rh 0.5000 0.2498 0.4498  6 Pr 2.88-3.01, 3 Hg 3.13-3.15
Rh 0.5000 0.4498 0.2498  6 Pr 2.88-3.01, 3 Hg 3.13-3.15

Results
- Energy of formation from the pure elements: -13.7 eV per formula unit
- Space group: Cmmm, No. 65


YCuBr2 | GGA-PBE | relaxed

Cell: 3.5760 3.5760 8.4342 Å, 90.00 90.00 89.96°
Last column: nearest neighbours and their distance in Å.
Element x y z (fractional)
Br 0.0000 0.0000 0.9251  4 Y 3.17, 1 Cu 3.48
Br 0.5000 0.5000 0.3631  4 Cu 2.83, 1 Y 2.83
Y 0.5000 0.5000 0.6991  5 Br 2.83-3.17, 4 Cu 2.98
Cu 0.0000 0.0000 0.5127  4 Br 2.83, 4 Y 2.98

Results
- Energy relative to the elements, uncorrected: -0.809 eV per atom
- Excess energy over the best structure of this formula in the dataset: 106 meV/atom
- Space group: P4mm, No. 99


Number 2 is which compound?
BeTlO2F